TbGd2Dy: optimized geometry, PBE.

Geometry as extended XYZ:
```
4
Lattice="0.000 4.015 4.015 4.015 0.000 4.015 4.015 4.015 0.000" Properties=species:S:1:pos:R:3 pbc="T T T"
Tb 0.000 0.000 0.000
Gd 2.007 2.007 2.007
Gd 6.022 6.022 6.022
Dy 4.015 4.015 4.015
```

Results
Formation enthalpy at 0 K in meV/atom: 102
Crystal system: cubic
Magnetic moment in μB per cell: 16.0
Energy in eV per atom: -9.2468

Ac6HgIr2Se3: optimized geometry, PBE.

Geometry as extended XYZ:
```
12
Lattice="9.989 -2.190 0.000 9.989 2.190 0.000 -2.793 0.000 8.953" Properties=species:S:1:pos:R:3 pbc="T T T"
Ac -0.528 0.000 2.343
Ac 5.256 0.000 3.889
Ac 4.085 0.000 7.984
Ac 13.100 0.000 0.969
Ac 11.929 0.000 5.064
Ac 17.713 0.000 6.610
Hg 9.989 0.000 0.000
Ir 2.391 0.000 2.958
Ir 14.794 0.000 5.995
Se 0.943 0.000 7.446
Se 8.593 0.000 4.477
Se 16.242 0.000 1.507
```

Results
Crystal system: monoclinic
ΔE_f (raw) in eV per atom: -1.21
Magnetic moment in μB per cell: 0.0
Energy in eV per atom: -5.6359

K4BaAs: optimized geometry, PBE.

Geometry as extended XYZ:
```
6
Lattice="0.000 5.308 5.308 5.308 0.000 5.308 5.308 5.308 0.000" Properties=species:S:1:pos:R:3 pbc="T T T"
K 1.299 1.299 1.299
K 4.009 4.009 1.299
K 4.009 1.299 4.009
K 1.299 4.009 4.009
Ba 5.308 5.308 5.308
As 7.962 7.962 7.962
```

Results
Formation enthalpy at 0 K in meV/atom: 263
Crystal system: cubic
Magnetic moment in μB per cell: 0.0
Energy in eV per atom: -1.5637

Ac3LaNd2: optimized geometry, PBE.

Geometry as extended XYZ:
```
6
Lattice="-1.860 3.195 10.408 1.860 -3.195 10.408 1.860 3.195 -10.408" Properties=species:S:1:pos:R:3 pbc="T T T"
Ac 0.000 0.000 0.000
Ac 1.860 0.000 6.494
Ac 0.000 3.195 3.914
La 0.000 3.195 0.000
Nd 1.860 0.000 2.881
Nd 0.000 3.195 7.527
```

Results
Formation enthalpy at 0 K in meV/atom: 319
Crystal system: orthorhombic
Magnetic moment in μB per cell: 0.2
Energy in eV per atom: -4.1458

PmPr3Er2Tm6: optimized geometry, PBE.

Geometry as extended XYZ:
```
12
Lattice="3.091 -5.351 0.000 3.091 5.351 0.000 -2.053 0.000 11.537" Properties=species:S:1:pos:R:3 pbc="T T T"
Pm 0.000 0.000 0.000
Pr 2.064 3.565 5.769
Pr 2.064 0.000 5.769
Pr 2.064 -3.565 5.769
Er 3.091 1.785 0.000
Er 3.091 -1.785 0.000
Tm 1.036 1.786 2.840
Tm 0.006 0.000 8.696
Tm 1.036 -1.786 2.840
Tm 3.093 1.786 8.698
Tm 4.122 0.000 2.841
Tm 3.093 -1.786 8.698
```

Results
Formation enthalpy at 0 K in meV/atom: 24
Crystal system: monoclinic
Magnetic moment in μB per cell: 0.0
Energy in eV per atom: -4.5631

CdTeP2O: optimized geometry, PBE.

Geometry as extended XYZ:
```
5
Lattice="5.178 0.000 0.000 0.000 5.178 0.000 0.000 0.000 3.956" Properties=species:S:1:pos:R:3 pbc="T T T"
Cd 0.000 0.000 0.000
Te 2.589 2.589 1.978
P 0.000 2.589 1.978
P 2.589 0.000 1.978
O 2.589 2.589 0.000
```

Results
Crystal system: tetragonal
ΔE_f (raw) in eV per atom: 0.44
Magnetic moment in μB per cell: 0.0
Energy in eV per atom: -3.5271

Ce5Ta: optimized geometry, PBE.

Geometry as extended XYZ:
```
6
Lattice="2.315 -6.914 0.000 2.315 6.914 0.000 0.000 0.000 4.671" Properties=species:S:1:pos:R:3 pbc="T T T"
Ce 0.000 0.000 0.000
Ce 2.315 4.610 2.335
Ce 2.315 2.216 0.000
Ce 2.315 -2.216 0.000
Ce 2.315 -4.610 2.335
Ta 2.315 0.000 2.335
```

Results
Formation enthalpy at 0 K in meV/atom: 164
Crystal system: orthorhombic
Magnetic moment in μB per cell: 0.0
Energy in eV per atom: -6.7565

K2TcBr: optimized geometry, PBE.

Geometry as extended XYZ:
```
4
Lattice="6.522 -1.748 0.000 6.522 1.748 0.000 -1.849 0.000 5.679" Properties=species:S:1:pos:R:3 pbc="T T T"
K 0.000 0.000 0.000
K 1.395 0.000 3.578
Tc 4.664 0.000 2.480
Br 9.458 0.000 0.857
```

Results
Crystal system: monoclinic
ΔE_f (raw) in eV per atom: 0.45
Magnetic moment in μB per cell: 3.4
Energy in eV per atom: -3.1071

Which value of energy does entry 5 give?
-4.5631 eV per atom

Look up the magnetic moment of the eighth one.
3.4 μB per cell